! Rb2Zr3AgSe8 (PBE-GGA, optimized geometry); values from VASP
! Spin magnetization in μB per formula unit: 0.00
! Fermi-level density of states in states/eV/f.u.: 5.61
! ΔE_f (raw) in eV/atom: -1.131
! Calculated density in Mg/m³: 4.27
! Energy in eV per atom: -5.296
&SYSTEM
  ibrav = 0, nat = 14, ntyp = 4
/
ATOMIC_SPECIES
Rb 85.47 Rb.upf
Zr 91.22 Zr.upf
Ag 107.87 Ag.upf
Se 78.96 Se.upf
CELL_PARAMETERS angstrom
-5.372 5.554 -1.179
-1.808 2.207 -7.277
-8.608 -3.489 -3.116
ATOMIC_POSITIONS crystal
Rb 0.139 0.139 0.583
Rb 0.489 0.489 0.533
Zr 0.491 0.983 0.034
Zr 0.983 0.491 0.034
Zr 0.491 0.491 0.034
Ag 0.988 0.988 0.037
Se 0.264 0.264 0.207
Se 0.717 0.717 0.850
Se 0.222 0.222 0.856
Se 0.701 0.222 0.856
Se 0.222 0.701 0.856
Se 0.757 0.273 0.214
Se 0.273 0.757 0.214
Se 0.757 0.757 0.214

***

! Rb3Zr3AgSe8 (PBE-GGA, optimized geometry); values from VASP
! Spin magnetization in μB per formula unit: 0.00
! Fermi-level density of states in states/eV/f.u.: 3.43
! ΔE_f (raw) in eV/atom: -1.160
! Calculated density in Mg/m³: 4.72
! Energy in eV per atom: -5.112
&SYSTEM
  ibrav = 0, nat = 15, ntyp = 4
/
ATOMIC_SPECIES
Rb 85.47 Rb.upf
Zr 91.22 Zr.upf
Ag 107.87 Ag.upf
Se 78.96 Se.upf
CELL_PARAMETERS angstrom
8.009 0.000 0.000
-4.004 6.936 -0.028
0.000 -4.592 8.051
ATOMIC_POSITIONS crystal
Rb 0.000 0.000 0.000
Rb 0.000 0.500 0.000
Rb 0.500 0.500 0.000
Zr 0.500 0.000 0.500
Zr 0.500 0.500 0.500
Zr 0.000 0.500 0.500
Ag 0.000 0.000 0.500
Se 0.269 0.538 0.307
Se 0.731 0.462 0.693
Se 0.760 0.521 0.312
Se 0.240 0.479 0.688
Se 0.760 0.051 0.312
Se 0.240 0.949 0.688
Se 0.291 0.051 0.312
Se 0.709 0.949 0.688

***

! Rb2ZrAg2Se4 (PBE-GGA, optimized geometry); values from VASP
! Spin magnetization in μB per formula unit: 0.00
! Fermi-level density of states in states/eV/f.u.: 0.40
! ΔE_f (raw) in eV/atom: -0.923
! Calculated density in Mg/m³: 5.30
! Energy in eV per atom: -4.270
&SYSTEM
  ibrav = 0, nat = 9, ntyp = 4
/
ATOMIC_SPECIES
Rb 85.47 Rb.upf
Zr 91.22 Zr.upf
Ag 107.87 Ag.upf
Se 78.96 Se.upf
CELL_PARAMETERS angstrom
4.154 0.000 0.000
0.000 8.189 0.361
-2.077 -2.919 7.176
ATOMIC_POSITIONS crystal
Rb 0.136 0.574 0.272
Rb 0.864 0.426 0.728
Zr 0.000 0.000 0.000
Ag 0.681 0.978 0.362
Ag 0.319 0.022 0.638
Se 0.185 0.189 0.370
Se 0.815 0.811 0.630
Se 0.507 0.775 0.015
Se 0.493 0.225 0.985

***

! Rb2SiAg2 (PBE-GGA, optimized geometry); values from VASP
! Spin magnetization in μB per formula unit: 0.00
! Fermi-level density of states in states/eV/f.u.: 0.12
! ΔE_f (raw) in eV/atom: 0.211
! Energy above the most stable polymorph in this dataset in meV/atom: 0
! Calculated density in Mg/m³: 4.39
! Energy in eV per atom: -2.401
&SYSTEM
  ibrav = 0, nat = 10, ntyp = 3
/
ATOMIC_SPECIES
Si 28.09 Si.upf
Rb 85.47 Rb.upf
Ag 107.87 Ag.upf
CELL_PARAMETERS angstrom
-0.718 -3.770 6.062
2.538 -5.829 -3.324
5.675 1.541 1.630
ATOMIC_POSITIONS crystal
Si 0.000 0.000 0.000
Si 0.500 0.500 0.000
Rb 0.168 0.668 0.500
Rb 0.668 0.832 0.500
Rb 0.832 0.332 0.500
Rb 0.332 0.168 0.500
Ag 0.285 0.785 0.000
Ag 0.785 0.715 0.000
Ag 0.715 0.215 0.000
Ag 0.215 0.285 0.000

***

! Rb2Si2Ag (PBE-GGA, optimized geometry); values from VASP
! Spin magnetization in μB per formula unit: 0.00
! Fermi-level density of states in states/eV/f.u.: 1.94
! ΔE_f (raw) in eV/atom: 0.162
! Energy above the most stable polymorph in this dataset in meV/atom: 0
! Calculated density in Mg/m³: 3.90
! Energy in eV per atom: -2.964
&SYSTEM
  ibrav = 0, nat = 5, ntyp = 3
/
ATOMIC_SPECIES
Rb 85.47 Rb.upf
Si 28.09 Si.upf
Ag 107.87 Ag.upf
CELL_PARAMETERS angstrom
-4.895 0.875 -1.582
-0.377 -4.343 -1.236
-4.667 -3.127 4.104
ATOMIC_POSITIONS crystal
Rb 0.700 0.200 0.600
Rb 0.300 0.800 0.400
Si 0.262 0.500 0.000
Si 0.738 0.500 0.000
Ag 0.000 0.000 0.000

***

! RbSi2Ag (PBE-GGA, optimized geometry); values from VASP
! Spin magnetization in μB per formula unit: 0.00
! Fermi-level density of states in states/eV/f.u.: 0.27
! ΔE_f (raw) in eV/atom: 0.836
! Energy above the most stable polymorph in this dataset in meV/atom: 505
! Calculated density in Mg/m³: 4.60
! Energy in eV per atom: -2.830
&SYSTEM
  ibrav = 0, nat = 4, ntyp = 3
/
ATOMIC_SPECIES
Si 28.09 Si.upf
Rb 85.47 Rb.upf
Ag 107.87 Ag.upf
CELL_PARAMETERS angstrom
3.122 -0.822 3.860
0.843 3.638 3.373
-1.828 -0.425 4.669
ATOMIC_POSITIONS crystal
Si 0.250 0.250 0.250
Si 0.750 0.750 0.750
Rb 0.000 0.000 0.000
Ag 0.500 0.500 0.500

***

! Rb2Si2Ag (PBE-GGA, optimized geometry); values from VASP
! Spin magnetization in μB per formula unit: 0.00
! Fermi-level density of states in states/eV/f.u.: 1.82
! ΔE_f (raw) in eV/atom: 0.295
! Energy above the most stable polymorph in this dataset in meV/atom: 133
! Calculated density in Mg/m³: 3.76
! Energy in eV per atom: -2.831
&SYSTEM
  ibrav = 0, nat = 5, ntyp = 3
/
ATOMIC_SPECIES
Si 28.09 Si.upf
Rb 85.47 Rb.upf
Ag 107.87 Ag.upf
CELL_PARAMETERS angstrom
-1.408 -0.853 -3.210
-3.171 -0.689 1.575
-5.396 10.061 -2.333
ATOMIC_POSITIONS crystal
Si 0.750 0.250 0.500
Si 0.250 0.750 0.500
Rb 0.389 0.389 0.221
Rb 0.611 0.611 0.779
Ag 0.000 0.000 0.000

***

! RbSi2Ag (PBE-GGA, optimized geometry); values from VASP
! Spin magnetization in μB per formula unit: 0.00
! Fermi-level density of states in states/eV/f.u.: 1.06
! ΔE_f (raw) in eV/atom: 0.332
! Energy above the most stable polymorph in this dataset in meV/atom: 0
! Calculated density in Mg/m³: 3.67
! Energy in eV per atom: -3.335
&SYSTEM
  ibrav = 0, nat = 8, ntyp = 3
/
ATOMIC_SPECIES
Si 28.09 Si.upf
Rb 85.47 Rb.upf
Ag 107.87 Ag.upf
CELL_PARAMETERS angstrom
-2.180 -2.251 3.881
2.532 -4.179 -1.001
6.923 -0.423 6.848
ATOMIC_POSITIONS crystal
Si 0.875 0.125 0.250
Si 0.875 0.625 0.250
Si 0.375 0.125 0.750
Si 0.875 0.125 0.750
Rb 0.500 0.500 0.000
Rb 0.250 0.750 0.500
Ag 0.000 0.000 0.000
Ag 0.750 0.250 0.500